# 1
# TaTiRh3 (PBEsol, relaxed)
data_TaTiRh3
_chemical_formula_sum 'Ta1 Ti1 Rh3'
_space_group_name_H-M_alt 'P 1'
_space_group_IT_number 1
_cell_length_a 4.4053
_cell_length_b 4.4053
_cell_length_c 4.4053
_cell_angle_alpha 90.00
_cell_angle_beta 90.00
_cell_angle_gamma 90.00
loop_
_space_group_symop_operation_xyz
'x,y,z'
loop_
_atom_site_label
_atom_site_type_symbol
_atom_site_fract_x
_atom_site_fract_y
_atom_site_fract_z
_atom_site_occupancy
Ta1 Ta 0.0000 0.0000 0.0000 1
Ti1 Ti 0.5000 0.5000 0.5000 1
Rh1 Rh 0.0000 0.5000 0.5000 1
Rh2 Rh 0.5000 0.0000 0.5000 1
Rh3 Rh 0.5000 0.5000 0.0000 1
# Excess energy over the best structure of this formula in the dataset: 0.00 kJ per mole of atoms
# Space-group type: Pm-3m

***

# 2
# Ta3TlRh (PBEsol, relaxed)
data_Ta3TlRh
_chemical_formula_sum 'Ta3 Tl1 Rh1'
_space_group_name_H-M_alt 'P 1'
_space_group_IT_number 1
_cell_length_a 4.7702
_cell_length_b 4.7702
_cell_length_c 4.7702
_cell_angle_alpha 90.00
_cell_angle_beta 90.00
_cell_angle_gamma 90.00
loop_
_space_group_symop_operation_xyz
'x,y,z'
loop_
_atom_site_label
_atom_site_type_symbol
_atom_site_fract_x
_atom_site_fract_y
_atom_site_fract_z
_atom_site_occupancy
Ta1 Ta 0.0000 0.0000 0.5000 1
Ta2 Ta 0.0000 0.5000 0.0000 1
Ta3 Ta 0.5000 0.0000 0.0000 1
Tl1 Tl 0.5000 0.5000 0.5000 1
Rh1 Rh 0.0000 0.0000 0.0000 1
# Space-group type: Pm-3m

***

Here are the calculated calculated formation energy numbers, same order: 3.569, 5.278 (eV/f.u.).